No. 1
## HoNiB2Ru (PBE)

Data for HoNiB2Ru after structural relaxation.

## Properties
Energy = -7.131 eV/atom
Symmetry = No. 119
Density = 9.03 Mg/m³
Energy relative to the elements = -0.5329 eV/atom

Cell and atoms, written as CIF:
```
data_HoNiB2Ru
_cell_length_a 5.3749
_cell_length_b 5.3749
_cell_length_c 5.3749
_cell_angle_alpha 139.98
_cell_angle_beta 139.98
_cell_angle_gamma 57.89
_symmetry_space_group_name_H-M 'P 1'
_symmetry_Int_Tables_number 1
loop_
_symmetry_equiv_pos_as_xyz
'x,y,z'
loop_
_atom_site_label
_atom_site_fract_x
_atom_site_fract_y
_atom_site_fract_z
Ho1 0.0000 0.0000 0.0000
Ni1 0.7500 0.2500 0.5000
B1 0.3609 0.3609 0.0000
B2 0.6391 0.6391 0.0000
Ru1 0.2500 0.7500 0.5000
```

---

No. 2
## Ho3SiNi9B2 (PBE)

Data for Ho3SiNi9B2 after structural relaxation.

## Properties
Energy = -6.109 eV/atom
Symmetry = No. 164
Density = 8.65 Mg/m³

Cell and atoms, written as CIF:
```
data_Ho3SiNi9B2
_cell_length_a 5.3847
_cell_length_b 5.3847
_cell_length_c 8.1969
_cell_angle_alpha 90.00
_cell_angle_beta 90.00
_cell_angle_gamma 120.00
_symmetry_space_group_name_H-M 'P 1'
_symmetry_Int_Tables_number 1
loop_
_symmetry_equiv_pos_as_xyz
'x,y,z'
loop_
_atom_site_label
_atom_site_fract_x
_atom_site_fract_y
_atom_site_fract_z
Ho1 0.0000 0.0000 0.0000
Ho2 0.3333 0.6667 0.6263
Ho3 0.6667 0.3333 0.3737
Si1 0.0000 0.0000 0.5000
Ni1 0.0000 0.5000 0.0000
Ni2 0.1644 0.3289 0.2849
Ni3 0.1644 0.8356 0.2849
Ni4 0.3289 0.1644 0.7151
Ni5 0.5000 0.0000 0.0000
Ni6 0.5000 0.5000 0.0000
Ni7 0.6711 0.8356 0.2849
Ni8 0.8356 0.1644 0.7151
Ni9 0.8356 0.6711 0.7151
B1 0.3333 0.6667 0.1475
B2 0.6667 0.3333 0.8525
```

---

No. 3
## HoSiNi6B (PBE)

Data for HoSiNi6B after structural relaxation.

## Properties
Energy = -5.941 eV/atom
Symmetry = No. 74
Density = 8.19 Mg/m³

Cell and atoms, written as CIF:
```
data_HoSiNi6B
_cell_length_a 6.9644
_cell_length_b 6.9644
_cell_length_c 6.9644
_cell_angle_alpha 130.17
_cell_angle_beta 113.60
_cell_angle_gamma 87.40
_symmetry_space_group_name_H-M 'P 1'
_symmetry_Int_Tables_number 1
loop_
_symmetry_equiv_pos_as_xyz
'x,y,z'
loop_
_atom_site_label
_atom_site_fract_x
_atom_site_fract_y
_atom_site_fract_z
Ho1 0.4552 0.2052 0.2500
Ho2 0.5448 0.7948 0.7500
Si1 0.0000 0.0000 0.5000
Si2 0.0000 0.5000 0.0000
Ni1 0.1073 0.4031 0.2747
Ni2 0.1073 0.8326 0.7042
Ni3 0.1752 0.9252 0.2500
Ni4 0.2681 0.5181 0.7500
Ni5 0.3716 0.1674 0.7747
Ni6 0.3716 0.5969 0.2042
Ni7 0.6284 0.4031 0.7958
Ni8 0.6284 0.8326 0.2253
Ni9 0.7319 0.4819 0.2500
Ni10 0.8248 0.0748 0.7500
Ni11 0.8927 0.1674 0.2958
Ni12 0.8927 0.5969 0.7253
B1 0.0000 0.0000 0.0000
B2 0.5000 0.0000 0.5000
```

---

No. 4
## HoNpB (PBE)

Data for HoNpB after structural relaxation.

## Properties
Energy = -7.985 eV/atom
Symmetry = No. 12
Density = 12.08 Mg/m³
Energy relative to the elements = 0.0802 eV/atom

Cell and atoms, written as CIF:
```
data_HoNpB
_cell_length_a 5.3090
_cell_length_b 5.3090
_cell_length_c 7.3346
_cell_angle_alpha 117.75
_cell_angle_beta 117.75
_cell_angle_gamma 39.15
_symmetry_space_group_name_H-M 'P 1'
_symmetry_Int_Tables_number 1
loop_
_symmetry_equiv_pos_as_xyz
'x,y,z'
loop_
_atom_site_label
_atom_site_fract_x
_atom_site_fract_y
_atom_site_fract_z
Ho1 0.0816 0.0816 0.3689
Ho2 0.9184 0.9184 0.6311
Np1 0.3122 0.3122 0.9584
Np2 0.6878 0.6878 0.0416
B1 0.3328 0.3328 0.3084
B2 0.6672 0.6672 0.6916
```

---

No. 5
## Ho3NpB4O12 (PBE)

Data for Ho3NpB4O12 after structural relaxation.

## Properties
Energy = -8.600 eV/atom
Symmetry = No. 155
Density = 6.32 Mg/m³

Cell and atoms, written as CIF:
```
data_Ho3NpB4O12
_cell_length_a 6.5227
_cell_length_b 6.5227
_cell_length_c 6.5227
_cell_angle_alpha 102.54
_cell_angle_beta 102.54
_cell_angle_gamma 102.54
_symmetry_space_group_name_H-M 'P 1'
_symmetry_Int_Tables_number 1
loop_
_symmetry_equiv_pos_as_xyz
'x,y,z'
loop_
_atom_site_label
_atom_site_fract_x
_atom_site_fract_y
_atom_site_fract_z
Ho1 0.0000 0.5366 0.4634
Ho2 0.4634 0.0000 0.5366
Ho3 0.5366 0.4634 0.0000
Np1 0.0000 0.0000 0.0000
B1 0.0375 0.5000 0.9625
B2 0.5000 0.5000 0.5000
B3 0.5000 0.9625 0.0375
B4 0.9625 0.0375 0.5000
O1 0.0283 0.6336 0.8231
O2 0.0982 0.9018 0.5000
O3 0.1769 0.3664 0.9717
O4 0.3641 0.6359 0.5000
O5 0.3664 0.9717 0.1769
O6 0.5000 0.0982 0.9018
O7 0.5000 0.3641 0.6359
O8 0.6336 0.8231 0.0283
O9 0.6359 0.5000 0.3641
O10 0.8231 0.0283 0.6336
O11 0.9018 0.5000 0.0982
O12 0.9717 0.1769 0.3664
```

---

No. 6
## Ho2B3O8 (PBE)

Data for Ho2B3O8 after structural relaxation.

## Properties
Energy = -8.089 eV/atom
Symmetry = No. 60
Density = 6.45 Mg/m³

Cell and atoms, written as CIF:
```
data_Ho2B3O8
_cell_length_a 12.8812
_cell_length_b 4.3744
_cell_length_c 8.9599
_cell_angle_alpha 90.00
_cell_angle_beta 90.00
_cell_angle_gamma 90.00
_symmetry_space_group_name_H-M 'P 1'
_symmetry_Int_Tables_number 1
loop_
_symmetry_equiv_pos_as_xyz
'x,y,z'
loop_
_atom_site_label
_atom_site_fract_x
_atom_site_fract_y
_atom_site_fract_z
Ho1 0.1394 0.0550 0.0400
Ho2 0.1394 0.9450 0.5400
Ho3 0.3606 0.4450 0.5400
Ho4 0.3606 0.5550 0.0400
Ho5 0.6394 0.4450 0.9600
Ho6 0.6394 0.5550 0.4600
Ho7 0.8606 0.0550 0.4600
Ho8 0.8606 0.9450 0.9600
B1 0.0000 0.4211 0.7500
B2 0.0000 0.5789 0.2500
B3 0.1931 0.4837 0.3010
B4 0.1931 0.5163 0.8010
B5 0.3069 0.0163 0.8010
B6 0.3069 0.9837 0.3010
B7 0.5000 0.0789 0.2500
B8 0.5000 0.9211 0.7500
B9 0.6931 0.0163 0.6990
B10 0.6931 0.9837 0.1990
B11 0.8069 0.4837 0.1990
B12 0.8069 0.5163 0.6990
O1 0.0059 0.2096 0.8780
O2 0.0059 0.7904 0.3780
O3 0.0934 0.3785 0.2361
O4 0.0934 0.6215 0.7361
O5 0.1885 0.4637 0.4620
O6 0.1885 0.5363 0.9620
O7 0.2172 0.2020 0.7436
O8 0.2172 0.7980 0.2436
O9 0.2828 0.2980 0.2436
O10 0.2828 0.7020 0.7436
O11 0.3115 0.0363 0.9620
O12 0.3115 0.9637 0.4620
O13 0.4066 0.1215 0.7361
O14 0.4066 0.8785 0.2361
O15 0.4941 0.2904 0.3780
O16 0.4941 0.7096 0.8780
O17 0.5059 0.2904 0.1220
O18 0.5059 0.7096 0.6220
O19 0.5934 0.1215 0.7639
O20 0.5934 0.8785 0.2639
O21 0.6885 0.0363 0.5380
O22 0.6885 0.9637 0.0380
O23 0.7172 0.2980 0.2564
O24 0.7172 0.7020 0.7564
O25 0.7828 0.2020 0.7564
O26 0.7828 0.7980 0.2564
O27 0.8115 0.4637 0.0380
O28 0.8115 0.5363 0.5380
O29 0.9066 0.3785 0.2639
O30 0.9066 0.6215 0.7639
O31 0.9941 0.2096 0.6220
O32 0.9941 0.7904 0.1220
```

---

No. 7
## HoB2O4 (PBE)

Data for HoB2O4 after structural relaxation.

## Properties
Distance to the lowest polymorph of the same formula = 564 meV per atom
Energy = -7.308 eV/atom
Symmetry = No. 166
Density = 6.02 Mg/m³

Cell and atoms, written as CIF:
```
data_HoB2O4
_cell_length_a 10.6033
_cell_length_b 10.6033
_cell_length_c 10.6033
_cell_angle_alpha 14.95
_cell_angle_beta 14.95
_cell_angle_gamma 14.95
_symmetry_space_group_name_H-M 'P 1'
_symmetry_Int_Tables_number 1
loop_
_symmetry_equiv_pos_as_xyz
'x,y,z'
loop_
_atom_site_label
_atom_site_fract_x
_atom_site_fract_y
_atom_site_fract_z
Ho1 0.0000 0.0000 0.0000
B1 0.2379 0.2379 0.2379
B2 0.7621 0.7621 0.7621
O1 0.1119 0.1119 0.1119
O2 0.2817 0.2817 0.2817
O3 0.7183 0.7183 0.7183
O4 0.8881 0.8881 0.8881
```

---

No. 8
## Ho4B6O15 (PBE)

Data for Ho4B6O15 after structural relaxation.

## Properties
Energy = -8.269 eV/atom
Symmetry = No. 15
Density = 6.63 Mg/m³

Cell and atoms, written as CIF:
```
data_Ho4B6O15
_cell_length_a 6.2544
_cell_length_b 6.2544
_cell_length_c 18.8898
_cell_angle_alpha 96.01
_cell_angle_beta 96.01
_cell_angle_gamma 41.16
_symmetry_space_group_name_H-M 'P 1'
_symmetry_Int_Tables_number 1
loop_
_symmetry_equiv_pos_as_xyz
'x,y,z'
loop_
_atom_site_label
_atom_site_fract_x
_atom_site_fract_y
_atom_site_fract_z
Ho1 0.0646 0.6678 0.9010
Ho2 0.0727 0.6527 0.6970
Ho3 0.3322 0.9354 0.5990
Ho4 0.3473 0.9273 0.8030
Ho5 0.6527 0.0727 0.1970
Ho6 0.6678 0.0646 0.4010
Ho7 0.9273 0.3473 0.3030
Ho8 0.9354 0.3322 0.0990
B1 0.0217 0.6396 0.5258
B2 0.1967 0.6091 0.0875
B3 0.2049 0.6595 0.3057
B4 0.3405 0.7951 0.1943
B5 0.3604 0.9783 0.9742
B6 0.3909 0.8033 0.4125
B7 0.6091 0.1967 0.5875
B8 0.6396 0.0217 0.0258
B9 0.6595 0.2049 0.8057
B10 0.7951 0.3405 0.6943
B11 0.8033 0.3909 0.9125
B12 0.9783 0.3604 0.4742
O1 0.0073 0.2472 0.9790
O2 0.0484 0.3147 0.7035
O3 0.0771 0.5612 0.1388
O4 0.0884 0.4946 0.4507
O5 0.1332 0.8668 0.2500
O6 0.1619 0.8101 0.3784
O7 0.1899 0.8381 0.1216
O8 0.2472 0.0073 0.4790
O9 0.2881 0.5413 0.5706
O10 0.3147 0.0484 0.2035
O11 0.3351 0.5334 0.8032
O12 0.4388 0.9229 0.3612
O13 0.4587 0.7119 0.9294
O14 0.4666 0.6649 0.6968
O15 0.4946 0.0884 0.9507
O16 0.5054 0.9116 0.0493
O17 0.5334 0.3351 0.3032
O18 0.5413 0.2881 0.0706
O19 0.5612 0.0771 0.6388
O20 0.6649 0.4666 0.1968
O21 0.6853 0.9516 0.7965
O22 0.7119 0.4587 0.4294
O23 0.7528 0.9927 0.5210
O24 0.8101 0.1619 0.8784
O25 0.8381 0.1899 0.6216
O26 0.8668 0.1332 0.7500
O27 0.9116 0.5054 0.5493
O28 0.9229 0.4388 0.8612
O29 0.9516 0.6853 0.2965
O30 0.9927 0.7528 0.0210
```

---

Q: density of number 6 (Ho2B3O8)?
A: 6.45 Mg/m³